[1]
Below is a geometry-optimized NdHfNi2 structure, with properties calculated at the GGA-PBE level.

**Formation energy**: -120.7 kJ/mol of formula units
**Crystal system**: trigonal
**Energy above the lowest structure with this stoichiometry**: 2.9 kJ per mole of atoms

Cell lengths 4.3783, 4.3783, 14.3911 Å; angles 90.00, 90.00, 120.00 degrees
Space group R-3m (No. 166, hexagonal axes)
Symmetry-distinct sites (fractional):
Nd  0.0000  0.0000  0.0000 x3
Hf  0.0000  0.0000  0.5000 x3
Ni  0.0000  0.0000  0.2068 x6



[2]
Below is a geometry-optimized NdHfNi2 structure, with properties calculated at the GGA-PBE level.

**Formation energy**: -132.5 kJ/mol of formula units
**Crystal system**: tetragonal
**Energy above the lowest structure with this stoichiometry**: 0.0 kJ per mole of atoms

Cell lengths 3.271, 3.271, 6.950 Å; angles 90.00, 90.00, 90.00 degrees
Space group P4/mmm (No. 123)
Symmetry-distinct sites (fractional):
Nd  0.000  0.000  0.000 x1
Hf  0.000  0.000  0.500 x1
Ni  0.500  0.500  0.305 x2



[3]
Below is a geometry-optimized Nd2HfNi structure, with properties calculated at the GGA-PBE level.

**Formation energy**: 162.6 kJ/mol of formula units
**Crystal system**: trigonal

Cell lengths 3.4071, 3.4071, 31.1726 Å; angles 90.00, 90.00, 120.00 degrees
Space group R-3m (No. 166, hexagonal axes)
Symmetry-distinct sites (fractional):
Nd  0.0000  0.0000  0.1034 x6
Hf  0.0000  0.0000  0.0000 x3
Ni  0.0000  0.0000  0.5000 x3